[1]
# PuSc4Ru5

A relaxed structure of PuSc4Ru5 (PBE-GGA, Alexandria).

Values from the calculation:
Formation energy from the elements (kcal/mol of atoms): -11.22
Calculated total energy (eV/atom): -9.090
DOS at the Fermi energy (states/eV/cell): 11.03
Crystal system: tetragonal

Cell: 3.247 3.247 16.185 Å, 90.00 90.00 90.00°
Space group P4/mmm (No. 123)
Asymmetric unit:
1 Pu 0.000 0.000 0.000 x1
2 Sc 0.000 0.000 0.209 x2
3 Sc 0.000 0.000 0.403 x2
4 Ru 0.500 0.500 0.100 x2
5 Ru 0.500 0.500 0.301 x2
6 Ru 0.500 0.500 0.500 x1

=====

[2]
# La2TbDy2

A relaxed structure of La2TbDy2 (PBE-GGA, Alexandria).

Values from the calculation:
Formation energy from the elements (kcal/mol of atoms): 11.33
Calculated total energy (eV/atom): -4.246
DOS at the Fermi energy (states/eV/cell): 33.45
Crystal system: tetragonal

Cell: 10.607 10.607 6.418 Å, 90.00 90.00 90.00°
Space group I4/mcm (No. 140)
Asymmetric unit:
1 La 0.110 0.390 0.000 x8
2 Tb 0.000 0.000 0.250 x4
3 Dy 0.190 0.310 0.500 x8

=====

[3]
# YMnSb2

A relaxed structure of YMnSb2 (PBE-GGA, Alexandria).

Values from the calculation:
Formation energy without anion corrections (eV/atom): -0.3421
Calculated total energy (eV/atom): -6.312
DOS at the Fermi energy (states/eV/cell): 4.31
Crystal system: monoclinic

Cell: 11.261 4.081 4.443 Å, 90.00 100.59 90.00°
Space group Cm (No. 8)
Asymmetric unit:
1 Y 0.000 0.000 0.000 x2
2 Mn 0.272 0.500 0.401 x2
3 Sb 0.037 0.500 0.517 x2
4 Sb 0.275 0.000 0.925 x2